! Ac4Sn2Hg | Alexandria | PBE | optimized geometry; values from VASP
&SYSTEM
  ibrav = 0, nat = 14, ntyp = 3
/
ATOMIC_SPECIES
Ac 227.00 Ac.upf
Sn 118.71 Sn.upf
Hg 200.59 Hg.upf
CELL_PARAMETERS angstrom
-5.034 5.034 5.124
5.034 -5.034 5.124
5.034 5.034 -5.124
ATOMIC_POSITIONS crystal
Ac 0.121 0.014 0.746
Ac 0.125 0.518 0.754
Ac 0.268 0.375 0.254
Ac 0.482 0.236 0.607
Ac 0.625 0.879 0.893
Ac 0.629 0.875 0.393
Ac 0.764 0.371 0.246
Ac 0.986 0.732 0.107
Sn 0.375 0.001 0.126
Sn 0.751 0.625 0.626
Sn 0.875 0.249 0.874
Sn 0.999 0.125 0.374
Hg 0.250 0.750 0.500
Hg 0.500 0.500 0.000
! - Formation energy: -0.55 eV/atom